1.
DFT (PBE) results for an optimized crystal structure of LuBeGaCu.

Results
The calculation puts the size of the total moment at 0.000 μB/cell.

The structure in POSCAR format:
```
LuBeGaCu
1.0
0.000 3.105 3.105
3.105 0.000 3.105
3.105 3.105 0.000
Lu Be Ga Cu
1 1 1 1
Cartesian
0.000 0.000 0.000
1.553 1.553 1.553
3.105 3.105 3.105
4.658 4.658 4.658
```


2.
DFT (PBE) results for an optimized crystal structure of LuBeGaCu.

Results
The calculation puts the size of the total moment at 0.000 μB/cell.

The structure in POSCAR format:
```
LuBeGaCu
1.0
0.000 3.145 3.145
3.145 0.000 3.145
3.145 3.145 0.000
Lu Be Ga Cu
1 1 1 1
Cartesian
0.000 0.000 0.000
4.717 4.717 4.717
1.572 1.572 1.572
3.145 3.145 3.145
```


Which is most stable? The ranking, best first, is 1, 2.


1.
DFT (PBE) results for an optimized crystal structure of BeNbGaCu.

Results
The calculation puts the size of the total moment at 0.138 μB/cell.

The structure in POSCAR format:
```
BeNbGaCu
1.0
0.000 3.006 3.006
3.006 0.000 3.006
3.006 3.006 0.000
Be Nb Ga Cu
1 1 1 1
Cartesian
0.000 0.000 0.000
4.509 4.509 4.509
1.503 1.503 1.503
3.006 3.006 3.006
```


2.
DFT (PBE) results for an optimized crystal structure of BeNbGaCu.

Results
The calculation puts the size of the total moment at 0.013 μB/cell.

The structure in POSCAR format:
```
BeNbGaCu
1.0
0.000 3.005 3.005
3.005 0.000 3.005
3.005 3.005 0.000
Be Nb Ga Cu
1 1 1 1
Cartesian
0.000 0.000 0.000
1.502 1.502 1.502
3.005 3.005 3.005
4.507 4.507 4.507
```


Which is most stable? The ranking, best first, is 2, 1.


1.
DFT (PBE) results for an optimized crystal structure of BeGaCuRe.

Results
The calculation puts the size of the total moment at 0.002 μB/cell.

The structure in POSCAR format:
```
BeGaCuRe
1.0
0.000 2.932 2.932
2.932 0.000 2.932
2.932 2.932 0.000
Be Ga Cu Re
1 1 1 1
Cartesian
0.000 0.000 0.000
2.932 2.932 2.932
4.398 4.398 4.398
1.466 1.466 1.466
```


2.
DFT (PBE) results for an optimized crystal structure of BeGaCuRe.

Results
The calculation puts the size of the total moment at 0.019 μB/cell.

The structure in POSCAR format:
```
BeGaCuRe
1.0
0.000 2.920 2.920
2.920 0.000 2.920
2.920 2.920 0.000
Be Ga Cu Re
1 1 1 1
Cartesian
0.000 0.000 0.000
1.460 1.460 1.460
2.920 2.920 2.920
4.379 4.379 4.379
```


Which is most stable? The ranking, best first, is 1, 2.


1.
DFT (PBE) results for an optimized crystal structure of TaBeGaCu.

Results
The calculation puts the size of the total moment at 0.014 μB/cell.

The structure in POSCAR format:
```
TaBeGaCu
1.0
0.000 3.009 3.009
3.009 0.000 3.009
3.009 3.009 0.000
Ta Be Ga Cu
1 1 1 1
Cartesian
0.000 0.000 0.000
4.514 4.514 4.514
1.505 1.505 1.505
3.009 3.009 3.009
```


2.
DFT (PBE) results for an optimized crystal structure of TaBeGaCu.

Results
The calculation puts the size of the total moment at 0.034 μB/cell.

The structure in POSCAR format:
```
TaBeGaCu
1.0
0.000 2.990 2.990
2.990 0.000 2.990
2.990 2.990 0.000
Ta Be Ga Cu
1 1 1 1
Cartesian
0.000 0.000 0.000
1.495 1.495 1.495
2.990 2.990 2.990
4.485 4.485 4.485
```


Which is most stable? The ranking, best first, is 1, 2.


1.
DFT (PBE) results for an optimized crystal structure of BeGaCuTc.

Results
The calculation puts the size of the total moment at 0.002 μB/cell.

The structure in POSCAR format:
```
BeGaCuTc
1.0
0.000 2.909 2.909
2.909 0.000 2.909
2.909 2.909 0.000
Be Ga Cu Tc
1 1 1 1
Cartesian
0.000 0.000 0.000
2.909 2.909 2.909
4.363 4.363 4.363
1.454 1.454 1.454
```


2.
DFT (PBE) results for an optimized crystal structure of BeGaCuTc.

Results
The calculation puts the size of the total moment at 0.001 μB/cell.

The structure in POSCAR format:
```
BeGaCuTc
1.0
0.000 2.914 2.914
2.914 0.000 2.914
2.914 2.914 0.000
Be Ga Cu Tc
1 1 1 1
Cartesian
0.000 0.000 0.000
1.457 1.457 1.457
2.914 2.914 2.914
4.371 4.371 4.371
```


Which is most stable? The ranking, best first, is 1, 2.


1.
DFT (PBE) results for an optimized crystal structure of BeGaCuW.

Results
The calculation puts the size of the total moment at 1.531 μB/cell.

The structure in POSCAR format:
```
BeGaCuW
1.0
0.000 2.962 2.962
2.962 0.000 2.962
2.962 2.962 0.000
Be Ga Cu W
1 1 1 1
Cartesian
0.000 0.000 0.000
1.481 1.481 1.481
2.962 2.962 2.962
4.444 4.444 4.444
```


2.
DFT (PBE) results for an optimized crystal structure of BeGaCuW.

Results
The calculation puts the size of the total moment at 0.616 μB/cell.

The structure in POSCAR format:
```
BeGaCuW
1.0
0.000 2.965 2.965
2.965 0.000 2.965
2.965 2.965 0.000
Be Ga Cu W
1 1 1 1
Cartesian
0.000 0.000 0.000
2.965 2.965 2.965
4.447 4.447 4.447
1.482 1.482 1.482
```


Which is most stable? The ranking, best first, is 2, 1.


1.
DFT (PBE) results for an optimized crystal structure of HfBeCuGe.

Results
The calculation puts the size of the total moment at 0.001 μB/cell.

The structure in POSCAR format:
```
HfBeCuGe
1.0
0.000 3.091 3.091
3.091 0.000 3.091
3.091 3.091 0.000
Hf Be Cu Ge
1 1 1 1
Cartesian
0.000 0.000 0.000
4.637 4.637 4.637
3.091 3.091 3.091
1.546 1.546 1.546
```


2.
DFT (PBE) results for an optimized crystal structure of HfBeCuGe.

Results
The calculation puts the size of the total moment at 0.003 μB/cell.

The structure in POSCAR format:
```
HfBeCuGe
1.0
0.000 3.083 3.083
3.083 0.000 3.083
3.083 3.083 0.000
Hf Be Cu Ge
1 1 1 1
Cartesian
0.000 0.000 0.000
1.542 1.542 1.542
4.625 4.625 4.625
3.083 3.083 3.083
```


Which is most stable? The ranking, best first, is 1, 2.


1.
DFT (PBE) results for an optimized crystal structure of LuBeCuGe.

Results
The calculation puts the size of the total moment at 0.000 μB/cell.

The structure in POSCAR format:
```
LuBeCuGe
1.0
0.000 3.175 3.175
3.175 0.000 3.175
3.175 3.175 0.000
Lu Be Cu Ge
1 1 1 1
Cartesian
0.000 0.000 0.000
4.763 4.763 4.763
3.175 3.175 3.175
1.588 1.588 1.588
```


2.
DFT (PBE) results for an optimized crystal structure of LuBeCuGe.

Results
The calculation puts the size of the total moment at 0.000 μB/cell.

The structure in POSCAR format:
```
LuBeCuGe
1.0
0.000 3.134 3.134
3.134 0.000 3.134
3.134 3.134 0.000
Lu Be Cu Ge
1 1 1 1
Cartesian
0.000 0.000 0.000
1.567 1.567 1.567
4.702 4.702 4.702
3.134 3.134 3.134
```


Which is most stable? The ranking, best first, is 2, 1.


1.
DFT (PBE) results for an optimized crystal structure of BeNbCuGe.

Results
The calculation puts the size of the total moment at 1.480 μB/cell.

The structure in POSCAR format:
```
BeNbCuGe
1.0
0.000 3.027 3.027
3.027 0.000 3.027
3.027 3.027 0.000
Be Nb Cu Ge
1 1 1 1
Cartesian
0.000 0.000 0.000
4.541 4.541 4.541
3.027 3.027 3.027
1.514 1.514 1.514
```


2.
DFT (PBE) results for an optimized crystal structure of BeNbCuGe.

Results
The calculation puts the size of the total moment at 0.552 μB/cell.

The structure in POSCAR format:
```
BeNbCuGe
1.0
0.000 3.020 3.020
3.020 0.000 3.020
3.020 3.020 0.000
Be Nb Cu Ge
1 1 1 1
Cartesian
0.000 0.000 0.000
1.510 1.510 1.510
4.530 4.530 4.530
3.020 3.020 3.020
```


Which is most stable? The ranking, best first, is 2, 1.


1.
DFT (PBE) results for an optimized crystal structure of BeCuGeOs.

Results
The calculation puts the size of the total moment at 0.000 μB/cell.

The structure in POSCAR format:
```
BeCuGeOs
1.0
0.000 2.920 2.920
2.920 0.000 2.920
2.920 2.920 0.000
Be Cu Ge Os
1 1 1 1
Cartesian
0.000 0.000 0.000
4.380 4.380 4.380
2.920 2.920 2.920
1.460 1.460 1.460
```


2.
DFT (PBE) results for an optimized crystal structure of BeCuGeOs.

Results
The calculation puts the size of the total moment at 0.001 μB/cell.

The structure in POSCAR format:
```
BeCuGeOs
1.0
0.000 2.937 2.937
2.937 0.000 2.937
2.937 2.937 0.000
Be Cu Ge Os
1 1 1 1
Cartesian
0.000 0.000 0.000
2.937 2.937 2.937
1.468 1.468 1.468
4.405 4.405 4.405
```


Which is most stable? The ranking, best first, is 1, 2.


1.
DFT (PBE) results for an optimized crystal structure of BeCuGePd.

The structure in POSCAR format:
```
BeCuGePd
1.0
0.000 2.962 2.962
2.962 0.000 2.962
2.962 2.962 0.000
Be Cu Ge Pd
1 1 1 1
Cartesian
0.000 0.000 0.000
4.444 4.444 4.444
2.962 2.962 2.962
1.481 1.481 1.481
```


2.
DFT (PBE) results for an optimized crystal structure of BeCuGePd.

The structure in POSCAR format:
```
BeCuGePd
1.0
0.000 2.971 2.971
2.971 0.000 2.971
2.971 2.971 0.000
Be Cu Ge Pd
1 1 1 1
Cartesian
0.000 0.000 0.000
2.971 2.971 2.971
1.485 1.485 1.485
4.456 4.456 4.456
```


Which is most stable? The ranking, best first, is 1, 2.


1.
DFT (PBE) results for an optimized crystal structure of BeCuGeW.

Results
The calculation puts the size of the total moment at 1.177 μB/cell.

The structure in POSCAR format:
```
BeCuGeW
1.0
0.000 2.987 2.987
2.987 0.000 2.987
2.987 2.987 0.000
Be Cu Ge W
1 1 1 1
Cartesian
0.000 0.000 0.000
2.987 2.987 2.987
1.494 1.494 1.494
4.481 4.481 4.481
```


2.
DFT (PBE) results for an optimized crystal structure of BeCuGeW.

Results
The calculation puts the size of the total moment at 0.002 μB/cell.

The structure in POSCAR format:
```
BeCuGeW
1.0
0.000 2.971 2.971
2.971 0.000 2.971
2.971 2.971 0.000
Be Cu Ge W
1 1 1 1
Cartesian
0.000 0.000 0.000
4.456 4.456 4.456
2.971 2.971 2.971
1.485 1.485 1.485
```


Which is most stable? The ranking, best first, is 2, 1.